1.
Density functional theory data (GGA-PBE) for a relaxed structure of Ta2TePb2. Values from VASP.

## Properties
N(E_F) ... 1.3805 states/eV/atom
Polymorph energy (0 for the lowest one) ... 285.0 meV per atom
Magnetic moment ... 0.000 μB/cell
Uncorrected energy ... -0.222 hartree per atom

Quantum ESPRESSO input file:
```
&SYSTEM
  ibrav = 0, nat = 5, ntyp = 3
/
ATOMIC_SPECIES
Pb 207.20 Pb.upf
Te 127.60 Te.upf
Ta 180.95 Ta.upf
CELL_PARAMETERS angstrom
4.2013 0.0000 0.0000
0.0000 4.2013 0.0000
2.1006 2.1006 7.0525
ATOMIC_POSITIONS crystal
Pb 0.7500 0.2500 0.5000
Pb 0.2500 0.7500 0.5000
Te 0.0000 0.0000 0.0000
Ta 0.4062 0.4062 0.1875
Ta 0.5938 0.5938 0.8125
```

***

2.
Density functional theory data (GGA-PBE) for a relaxed structure of Ba2AuF. Values from VASP.

## Properties
N(E_F) ... 0.2323 states/eV/atom
Polymorph energy (0 for the lowest one) ... 28.7 meV per atom
Magnetic moment ... 0.000 μB/cell
Uncorrected energy ... -0.143 hartree per atom

Quantum ESPRESSO input file:
```
&SYSTEM
  ibrav = 0, nat = 8, ntyp = 3
/
ATOMIC_SPECIES
Au 196.97 Au.upf
Ba 137.33 Ba.upf
F 19.00 F.upf
CELL_PARAMETERS angstrom
-5.8623 2.1941 -4.4952
-4.0009 -6.2134 2.1850
-6.7398 0.3969 2.3775
ATOMIC_POSITIONS crystal
Au 0.0000 0.0000 0.0000
Au 0.7500 0.2500 0.5000
Ba 0.5694 0.1250 0.2500
Ba 0.1806 0.6250 0.2500
Ba 0.3750 0.4306 0.7500
Ba 0.8750 0.8194 0.7500
F 0.5000 0.5000 0.0000
F 0.2500 0.7500 0.5000
```

***

3.
Density functional theory data (GGA-PBE) for a relaxed structure of Cs2KAg. Values from VASP.

## Properties
N(E_F) ... 0.8009 states/eV/atom
Polymorph energy (0 for the lowest one) ... 32.0 meV per atom
Magnetic moment ... 0.000 μB/cell
Uncorrected energy ... -0.050 hartree per atom
Energy of formation from the pure elements ... 0.050 eV/atom

Quantum ESPRESSO input file:
```
&SYSTEM
  ibrav = 0, nat = 4, ntyp = 3
/
ATOMIC_SPECIES
Cs 132.91 Cs.upf
K 39.10 K.upf
Ag 107.87 Ag.upf
CELL_PARAMETERS angstrom
-2.7130 -4.1496 -0.7481
4.9975 -5.9265 -2.2126
1.8051 -5.2862 5.8133
ATOMIC_POSITIONS crystal
Cs 0.0681 0.8781 0.9845
Cs 0.4319 0.5155 0.6219
K 0.2500 0.1917 0.3083
Ag 0.7500 0.9147 0.5853
```

***

4.
Density functional theory data (GGA-PBE) for a relaxed structure of VBiSb2. Values from VASP.

## Properties
N(E_F) ... 0.5981 states/eV/atom
Magnetic moment ... 4.259 μB/cell
Uncorrected energy ... -0.182 hartree per atom

Quantum ESPRESSO input file:
```
&SYSTEM
  ibrav = 0, nat = 8, ntyp = 3
/
ATOMIC_SPECIES
Sb 121.76 Sb.upf
Bi 208.98 Bi.upf
V 50.94 V.upf
CELL_PARAMETERS angstrom
-0.1053 -5.8047 2.8971
-1.6315 -2.7807 -5.6307
5.6430 -5.1428 -2.8336
ATOMIC_POSITIONS crystal
Sb 0.5712 0.1250 0.2500
Sb 0.1788 0.6250 0.2500
Sb 0.3750 0.4288 0.7500
Sb 0.8750 0.8212 0.7500
Bi 0.0000 0.0000 0.0000
Bi 0.7500 0.2500 0.5000
V 0.5000 0.5000 0.0000
V 0.2500 0.7500 0.5000
```

***

5.
Density functional theory data (GGA-PBE) for a relaxed structure of NaMn2RhCl. Values from VASP.

## Properties
N(E_F) ... 0.8195 states/eV/atom
Magnetic moment ... 7.961 μB/cell
Uncorrected energy ... -0.188 hartree per atom

Quantum ESPRESSO input file:
```
&SYSTEM
  ibrav = 0, nat = 5, ntyp = 4
/
ATOMIC_SPECIES
Na 22.99 Na.upf
Mn 54.94 Mn.upf
Rh 102.91 Rh.upf
Cl 35.45 Cl.upf
CELL_PARAMETERS angstrom
4.4393 0.0000 0.0000
0.0000 4.6748 0.0000
0.0000 0.0000 4.4393
ATOMIC_POSITIONS crystal
Na 0.0000 0.5000 0.0000
Mn 0.0000 0.0000 0.5000
Mn 0.5000 0.0000 0.0000
Rh 0.5000 0.5000 0.5000
Cl 0.0000 0.0000 0.0000
```

***

6.
Density functional theory data (GGA-PBE) for a relaxed structure of RbYNb2Pb. Values from VASP.

## Properties
N(E_F) ... 1.0052 states/eV/atom
Magnetic moment ... 6.485 μB/cell
Uncorrected energy ... -0.175 hartree per atom
Energy of formation from the pure elements ... 1.483 eV/atom

Quantum ESPRESSO input file:
```
&SYSTEM
  ibrav = 0, nat = 5, ntyp = 4
/
ATOMIC_SPECIES
Pb 207.20 Pb.upf
Y 88.91 Y.upf
Nb 92.91 Nb.upf
Rb 85.47 Rb.upf
CELL_PARAMETERS angstrom
-2.2051 -0.2946 5.3108
0.0325 -6.0449 -0.3219
5.3189 -0.0887 2.2036
ATOMIC_POSITIONS crystal
Pb 0.0000 0.0000 0.0000
Y 0.0000 0.5000 0.0000
Nb 0.0000 0.0000 0.5000
Nb 0.5000 0.0000 0.0000
Rb 0.5000 0.5000 0.5000
```

***

7.
Density functional theory data (GGA-PBE) for a relaxed structure of Sr2Al7Ga. Values from VASP.

## Properties
N(E_F) ... 0.1924 states/eV/atom
Magnetic moment ... 0.000 μB/cell
Uncorrected energy ... -0.129 hartree per atom
Energy of formation from the pure elements ... -0.254 eV/atom

Quantum ESPRESSO input file:
```
&SYSTEM
  ibrav = 0, nat = 10, ntyp = 3
/
ATOMIC_SPECIES
Sr 87.62 Sr.upf
Al 26.98 Al.upf
Ga 69.72 Ga.upf
CELL_PARAMETERS angstrom
-1.2892 4.1756 0.8965
-1.0097 -1.2079 4.1741
10.4305 2.5220 3.2529
ATOMIC_POSITIONS crystal
Sr 0.5000 0.0000 0.7510
Sr 0.0000 0.5000 0.2490
Al 0.0000 0.5000 0.8682
Al 0.5000 0.0000 0.3662
Al 0.5000 0.0000 0.1318
Al 0.0000 0.5000 0.6338
Al 0.0000 0.0000 0.5000
Al 0.0000 0.0000 0.0000
Al 0.5000 0.5000 0.5000
Ga 0.5000 0.5000 0.0000
```

***

8.
Density functional theory data (GGA-PBE) for a relaxed structure of MgAlP3. Values from VASP.

## Properties
N(E_F) ... 0.9541 states/eV/atom
Polymorph energy (0 for the lowest one) ... 0.0 meV per atom
Magnetic moment ... 0.000 μB/cell
Uncorrected energy ... -0.140 hartree per atom
Energy of formation from the pure elements ... 0.491 eV/atom

Quantum ESPRESSO input file:
```
&SYSTEM
  ibrav = 0, nat = 5, ntyp = 3
/
ATOMIC_SPECIES
P 30.97 P.upf
Mg 24.30 Mg.upf
Al 26.98 Al.upf
CELL_PARAMETERS angstrom
4.6591 0.0000 0.0000
0.0000 4.6591 0.0000
0.0000 0.0000 4.6591
ATOMIC_POSITIONS crystal
P 0.0000 0.5000 0.0000
P 0.0000 0.0000 0.5000
P 0.5000 0.0000 0.0000
Mg 0.5000 0.5000 0.5000
Al 0.0000 0.0000 0.0000
```

***

9.
Density functional theory data (GGA-PBE) for a relaxed structure of Cs2Rb12Se7. Values from VASP.

## Properties
N(E_F) ... 0.0000 states/eV/atom
Magnetic moment ... 0.000 μB/cell
Uncorrected energy ... -0.104 hartree per atom

Quantum ESPRESSO input file:
```
&SYSTEM
  ibrav = 0, nat = 21, ntyp = 3
/
ATOMIC_SPECIES
Cs 132.91 Cs.upf
Rb 85.47 Rb.upf
Se 78.96 Se.upf
CELL_PARAMETERS angstrom
5.2938 0.0000 0.0000
0.0000 11.9954 -6.9255
0.0000 0.0000 13.8511
ATOMIC_POSITIONS crystal
Cs 0.5000 0.0000 0.0000
Cs 0.0000 0.6667 0.3333
Rb 0.5000 0.8923 0.6156
Rb 0.5000 0.7233 0.1077
Rb 0.5000 0.3844 0.2767
Rb 0.5000 0.2360 0.7917
Rb 0.5000 0.5557 0.7640
Rb 0.5000 0.2083 0.4443
Rb 0.0000 0.0545 0.5492
Rb 0.0000 0.4947 0.9455
Rb 0.0000 0.4508 0.5053
Rb 0.0000 0.7658 0.7270
Rb 0.0000 0.9612 0.2342
Rb 0.0000 0.2730 0.0388
Se 0.0000 0.3333 0.6667
Se 0.0000 0.0382 0.7887
Se 0.0000 0.7505 0.9618
Se 0.0000 0.2113 0.2495
Se 0.5000 0.6199 0.5419
Se 0.5000 0.9219 0.3801
Se 0.5000 0.4581 0.0781
```

***

10.
Density functional theory data (GGA-PBE) for a relaxed structure of CeThAu. Values from VASP.

## Properties
N(E_F) ... 2.0099 states/eV/atom
Polymorph energy (0 for the lowest one) ... 4.8 meV per atom
Magnetic moment ... 0.000 μB/cell
Uncorrected energy ... -0.217 hartree per atom
Energy of formation from the pure elements ... -0.370 eV/atom

Quantum ESPRESSO input file:
```
&SYSTEM
  ibrav = 0, nat = 6, ntyp = 3
/
ATOMIC_SPECIES
Ce 140.12 Ce.upf
Th 232.04 Th.upf
Au 196.97 Au.upf
CELL_PARAMETERS angstrom
4.3609 0.0000 0.0000
0.0000 4.4221 -0.2711
0.0000 0.2764 8.4099
ATOMIC_POSITIONS crystal
Ce 0.2500 0.8088 0.0152
Ce 0.7500 0.1912 0.9848
Th 0.2500 0.2497 0.3685
Th 0.7500 0.7503 0.6315
Au 0.2500 0.2779 0.7288
Au 0.7500 0.7221 0.2712
```

***

11.
Density functional theory data (GGA-PBE) for a relaxed structure of Hf2ScFe. Values from VASP.

## Properties
N(E_F) ... 1.2802 states/eV/atom
Polymorph energy (0 for the lowest one) ... 0.0 meV per atom
Magnetic moment ... 0.001 μB/cell
Uncorrected energy ... -0.323 hartree per atom
Energy of formation from the pure elements ... -0.120 eV/atom

Quantum ESPRESSO input file:
```
&SYSTEM
  ibrav = 0, nat = 8, ntyp = 3
/
ATOMIC_SPECIES
Hf 178.49 Hf.upf
Sc 44.96 Sc.upf
Fe 55.84 Fe.upf
CELL_PARAMETERS angstrom
-3.1287 1.1758 0.3730
1.5133 -2.3549 4.9531
3.1423 7.5302 2.6201
ATOMIC_POSITIONS crystal
Hf 0.3594 0.7185 0.5624
Hf 0.6406 0.2815 0.4376
Hf 0.3594 0.7185 0.9376
Hf 0.6406 0.2815 0.0624
Sc 0.9310 0.8616 0.2500
Sc 0.0690 0.1384 0.7500
Fe 0.7631 0.5263 0.7500
Fe 0.2369 0.4737 0.2500
```

***

12.
Density functional theory data (GGA-PBE) for a relaxed structure of Tb2UTe6. Values from VASP.

## Properties
N(E_F) ... 0.6321 states/eV/atom
Magnetic moment ... 0.858 μB/cell
Uncorrected energy ... -0.192 hartree per atom

Quantum ESPRESSO input file:
```
&SYSTEM
  ibrav = 0, nat = 18, ntyp = 3
/
ATOMIC_SPECIES
Tb 158.93 Tb.upf
U 238.03 U.upf
Te 127.60 Te.upf
CELL_PARAMETERS angstrom
-1.7925 -6.8558 1.5729
5.7895 -0.5162 4.3478
-7.2460 4.2232 10.1501
ATOMIC_POSITIONS crystal
Tb 0.0000 0.0000 0.3346
Tb 0.5000 0.5000 0.8346
Tb 0.5000 0.5000 0.1654
Tb 0.0000 0.0000 0.6654
U 0.0000 0.0000 0.0000
U 0.5000 0.5000 0.5000
Te 0.3009 0.3009 0.3404
Te 0.6991 0.6991 0.3404
Te 0.1991 0.8009 0.8404
Te 0.8009 0.1991 0.8404
Te 0.1991 0.8009 0.1596
Te 0.8009 0.1991 0.1596
Te 0.3009 0.3009 0.6596
Te 0.6991 0.6991 0.6596
Te 0.2897 0.2897 0.0000
Te 0.7103 0.7103 0.0000
Te 0.2103 0.7897 0.5000
Te 0.7897 0.2103 0.5000
```

***

Question: The highest uncorrected energy belongs to which entry?
Answer: Cs2KAg

***

Copy entry 6 word for word.
Density functional theory data (GGA-PBE) for a relaxed structure of RbYNb2Pb. Values from VASP.

## Properties
N(E_F) ... 1.0052 states/eV/atom
Magnetic moment ... 6.485 μB/cell
Uncorrected energy ... -0.175 hartree per atom
Energy of formation from the pure elements ... 1.483 eV/atom

Quantum ESPRESSO input file:
```
&SYSTEM
  ibrav = 0, nat = 5, ntyp = 4
/
ATOMIC_SPECIES
Pb 207.20 Pb.upf
Y 88.91 Y.upf
Nb 92.91 Nb.upf
Rb 85.47 Rb.upf
CELL_PARAMETERS angstrom
-2.2051 -0.2946 5.3108
0.0325 -6.0449 -0.3219
5.3189 -0.0887 2.2036
ATOMIC_POSITIONS crystal
Pb 0.0000 0.0000 0.0000
Y 0.0000 0.5000 0.0000
Nb 0.0000 0.0000 0.5000
Nb 0.5000 0.0000 0.0000
Rb 0.5000 0.5000 0.5000
```

***

Question: Look up the N(E_F) of the ninth one.
Answer: 0.0000 states/eV/atom

***

Question: Among the records above, which one has the lowest uncorrected energy?
Answer: Hf2ScFe